Entry 1:
Here is crystalline Pr3Mg2Cd3 at its relaxed geometry from the Alexandria database. Energies are from PBE.

The structure in extended XYZ format:
```
16
Lattice="2.497 -5.632 0.000 2.497 5.632 0.000 0.000 0.000 16.108" Properties=species:S:1:pos:R:3 pbc="T T T"
Pr 2.497 4.548 9.848
Pr 2.497 4.548 14.314
Pr 2.497 1.329 12.081
Pr 2.497 -1.329 4.027
Pr 2.497 -4.548 1.794
Pr 2.497 -4.548 6.260
Mg 2.497 3.321 1.482
Mg 2.497 3.321 6.572
Mg 2.497 -3.321 9.536
Mg 2.497 -3.321 14.626
Cd 2.497 1.917 4.027
Cd 2.497 1.208 8.770
Cd 2.497 1.208 15.392
Cd 2.497 -1.208 0.716
Cd 2.497 -1.208 7.338
Cd 2.497 -1.917 12.081
```

Values from the calculation:
Calculated total energy = -2.7402 eV/atom
ΔE to the lowest computed polymorph = 0.006 eV/atom


Entry 2:
Here is crystalline Rb2TiCu at its relaxed geometry from the Alexandria database. Energies are from PBE.

The structure in extended XYZ format:
```
4
Lattice="0.000 4.328 4.328 4.328 0.000 4.328 4.328 4.328 0.000" Properties=species:S:1:pos:R:3 pbc="T T T"
Rb 2.164 2.164 2.164
Rb 6.492 6.492 6.492
Ti 0.000 0.000 0.000
Cu 4.328 4.328 4.328
```

Values from the calculation:
Calculated total energy = -2.2614 eV/atom
ΔE to the lowest computed polymorph = 0.319 eV/atom


Entry 3:
Here is crystalline BeHgAs2Os at its relaxed geometry from the Alexandria database. Energies are from PBE.

The structure in extended XYZ format:
```
5
Lattice="4.304 0.000 0.000 0.000 4.304 0.000 0.000 0.000 4.718" Properties=species:S:1:pos:R:3 pbc="T T T"
Be 0.000 0.000 0.000
Hg 0.000 0.000 2.359
As 0.000 2.152 0.000
As 2.152 0.000 0.000
Os 2.152 2.152 2.359
```

Values from the calculation:
Calculated total energy = -3.7900 eV/atom


no.,N(E_F) (states/eV per cell),calculated formation energy (eV per atom),ρ (g cm⁻³)
1,17.9,-0.206,5.9
2,2.2,1.220,2.9
3,3.3,1.121,10.4